A plane-wave DFT calculation with PBE+U was carried out for a relaxed CoAsO4 crystal.

The total energy is -5.99 eV per atom.

The structure belongs to space group C2/m (No. 12); the cell edges are 11.519, 2.866 and 4.908 Å and the angles 90.00°, 114.80° and 90.00°. Symmetry generates all atoms from Co at (0.000, 0.000, 0.000), As at (0.000, 0.500, 0.500), O at (0.090, 0.500, 0.911) and O at (0.096, 0.000, 0.431).